# 1
{
  "formula": "HoHfInCu",
  "functional": "PBE",
  "state": "relaxed",
  "cell": [[0.000, 3.507, 3.507], [3.507, 0.000, 3.507], [3.507, 3.507, 0.000]],
  "species": ["Ho", "Hf", "In", "Cu"],
  "frac_coords": [[0.000, 0.000, 0.000], [0.500, 0.500, 0.500], [0.750, 0.750, 0.750], [0.250, 0.250, 0.250]],
  "space_group": "No. 216",
  "formation_enthalpy_0k_ev_per_atom": -0.102,
  "rho_g_cm3": 10.05
}

---

# 2
{
  "formula": "HoHfCuIr",
  "functional": "PBE",
  "state": "relaxed",
  "cell": [[0.000, 3.345, 3.345], [3.345, 0.000, 3.345], [3.345, 3.345, 0.000]],
  "species": ["Ho", "Hf", "Cu", "Ir"],
  "frac_coords": [[0.000, 0.000, 0.000], [0.500, 0.500, 0.500], [0.250, 0.250, 0.250], [0.750, 0.750, 0.750]],
  "space_group": "No. 216",
  "formation_enthalpy_0k_ev_per_atom": -0.547,
  "rho_g_cm3": 13.29
}

---

# 3
{
  "formula": "HoHfCuNi",
  "functional": "PBE",
  "state": "relaxed",
  "cell": [[0.000, 3.303, 3.303], [3.303, 0.000, 3.303], [3.303, 3.303, 0.000]],
  "species": ["Ho", "Hf", "Cu", "Ni"],
  "frac_coords": [[0.000, 0.000, 0.000], [0.500, 0.500, 0.500], [0.750, 0.750, 0.750], [0.250, 0.250, 0.250]],
  "space_group": "No. 216",
  "formation_enthalpy_0k_ev_per_atom": -0.236,
  "rho_g_cm3": 10.73
}

---

| no. | density of states at the Fermi level (states/eV/f.u.) | VASP energy (eV/atom) |
| --- | --- | --- |
| 1 | 3.34 | -5.444 |
| 2 | 2.71 | -7.419 |
| 3 | 2.79 | -6.339 |